(1)
A plane-wave DFT calculation with PBE-GGA was carried out for a relaxed PmSm3Bi3 crystal.

density = 8.4 g/cm³

a b c (Å): 8.363 8.363 8.363
angles (deg): 68.02 68.02 68.02
Fractional coordinates of all 14 atoms:
Pm 0.167 0.167 0.167
Pm 0.833 0.833 0.833
Sm 0.155 0.413 0.679
Sm 0.321 0.845 0.587
Sm 0.413 0.679 0.155
Sm 0.587 0.321 0.845
Sm 0.679 0.155 0.413
Sm 0.845 0.587 0.321
Bi 0.030 0.802 0.421
Bi 0.198 0.579 0.970
Bi 0.421 0.030 0.802
Bi 0.579 0.970 0.198
Bi 0.802 0.421 0.030
Bi 0.970 0.198 0.579

=====

(2)
A plane-wave DFT calculation with PBE-GGA was carried out for a relaxed PmSm2Bi crystal.

density = 7.6 g/cm³

a b c (Å): 10.007 10.007 10.007
angles (deg): 23.79 23.79 23.79
Fractional coordinates of all 4 atoms:
Pm 0.000 0.000 0.000
Sm 0.237 0.237 0.237
Sm 0.430 0.430 0.430
Bi 0.834 0.834 0.834

=====

| no. | formation enthalpy at 0 K (eV per atom) | M_tot (μB/atom) | E above lowest polymorph (eV per formula unit) |
| --- | --- | --- | --- |
| 1 | -0.72 | 0.00 | 0.66 |
| 2 | -0.21 | 0.15 | 0.96 |